(1)
Below is a geometry-optimized Sr4FeCo structure, with properties calculated at the PBE level.

Properties
The calculation puts the mass density at 3.261 Mg/m³. The space group is No. 216. The calculation puts the formation energy at 1.35 eV per atom. The calculation puts the density of states at the Fermi level at 13.66 states/eV per cell.

Cell: 6.9457 6.9457 6.9457 Å, 60.00 60.00 60.00°
Last column: magnetic moment on the atom in μB.
Fractional coordinates of all 6 atoms:
Sr: 0.8754 0.3749 0.3749  -0.09
Sr: 0.3749 0.3749 0.8754  -0.09
Sr: 0.3749 0.8754 0.3749  -0.09
Sr: 0.3749 0.3749 0.3749  -0.09
Fe: 0.0000 0.0000 0.0000  3.21
Co: 0.7500 0.7500 0.7500  2.07

=====

(2)
Below is a geometry-optimized YMgRe2 structure, with properties calculated at the PBE level.

Properties
The calculation puts the mass density at 11.172 Mg/m³. The space group is No. 47. The calculation puts the formation energy at 0.43 eV per atom. The calculation puts the density of states at the Fermi level at 3.11 states/eV per cell.

Cell: 3.4159 4.4985 4.6973 Å, 90.00 90.00 90.00°
Fractional coordinates of all 4 atoms:
Mg: 0.0000 0.5000 0.5000
Re: 0.0000 0.0000 0.0000
Re: 0.5000 0.5000 0.0000
Y: 0.5000 0.0000 0.5000

=====

(3)
Below is a geometry-optimized RbZn3C structure, with properties calculated at the PBE level.

Properties
The calculation puts the mass density at 1.455 Mg/m³. The space group is No. 221. Its energy above the lowest structure with this stoichiometry is 5.25 eV per formula unit. The calculation puts the formation energy at 1.98 eV per atom. The calculation puts the density of states at the Fermi level at 13.24 states/eV per cell.

Cell: 6.9468 6.9468 6.9468 Å, 90.00 90.00 90.00°
Last column: magnetic moment on the atom in μB.
Fractional coordinates of all 5 atoms:
Zn: 0.0000 0.5000 0.0000  0.01
Zn: 0.0000 0.0000 0.5000  0.01
Zn: 0.5000 0.0000 0.0000  0.01
C: 0.5000 0.5000 0.5000  1.09
Rb: 0.0000 0.0000 0.0000  0.00

=====

(4)
Below is a geometry-optimized ZrNbAg2Te structure, with properties calculated at the PBE level.

Properties
The calculation puts the mass density at 6.581 Mg/m³. The space group is No. 123. For the total energy, the calculation gives -4.5078 eV per atom. The calculation puts the density of states at the Fermi level at 5.78 states/eV per cell.

Cell: 5.0917 5.1336 5.0917 Å, 90.00 90.00 90.00°
Fractional coordinates of all 5 atoms:
Nb: 0.0000 0.0000 0.0000
Te: 0.0000 0.5000 0.0000
Zr: 0.5000 0.5000 0.5000
Ag: 0.0000 0.0000 0.5000
Ag: 0.5000 0.0000 0.0000

=====

(5)
Below is a geometry-optimized SmGa8Tc4 structure, with properties calculated at the PBE level.

Properties
The calculation puts the mass density at 8.501 Mg/m³. The space group is No. 139. The calculation puts the formation energy at -0.28 eV per atom. The calculation puts the density of states at the Fermi level at 5.21 states/eV per cell.

Cell: 5.2409 6.9187 6.9187 Å, 81.75 67.74 67.74°
Fractional coordinates of all 13 atoms:
Sm: 0.0000 0.0000 0.0000
Ga: 0.0000 0.3468 0.6532
Ga: 0.0000 0.6532 0.3468
Ga: 0.3468 0.6532 0.6532
Ga: 0.6532 0.3468 0.3468
Ga: 0.5000 0.7868 0.2132
Ga: 0.5000 0.2132 0.7868
Ga: 0.2868 0.2132 0.2132
Ga: 0.7132 0.7868 0.7868
Tc: 0.0000 0.0000 0.5000
Tc: 0.5000 0.0000 0.5000
Tc: 0.0000 0.5000 0.0000
Tc: 0.5000 0.5000 0.0000

=====

(6)
Below is a geometry-optimized MgBe2V structure, with properties calculated at the PBE level.

Properties
The calculation puts the mass density at 3.010 Mg/m³. The space group is No. 63. The calculation puts the formation energy at 0.14 eV per atom. The calculation puts the density of states at the Fermi level at 6.57 states/eV per cell.

Cell: 2.8972 11.7556 6.0434 Å, 90.00 90.00 90.00°
Fractional coordinates of all 16 atoms:
Be: 0.0000 0.5854 0.0617
Be: 0.0000 0.4146 0.9383
Be: 0.0000 0.5854 0.4383
Be: 0.0000 0.4146 0.5617
Be: 0.5000 0.0854 0.0617
Be: 0.5000 0.9146 0.9383
Be: 0.5000 0.0854 0.4383
Be: 0.5000 0.9146 0.5617
Mg: 0.0000 0.2454 0.2500
Mg: 0.0000 0.7546 0.7500
Mg: 0.5000 0.7454 0.2500
Mg: 0.5000 0.2546 0.7500
V: 0.0000 0.9570 0.2500
V: 0.0000 0.0430 0.7500
V: 0.5000 0.4570 0.2500
V: 0.5000 0.5430 0.7500

=====

(7)
Below is a geometry-optimized CdAu structure, with properties calculated at the PBE level.

Properties
The calculation puts the mass density at 12.940 Mg/m³. The space group is No. 11. The calculation puts the formation energy at -0.17 eV per atom. The calculation puts the density of states at the Fermi level at 1.10 states/eV per cell.

Cell: 3.1044 4.6347 5.6963 Å, 90.00 104.35 90.00°
Fractional coordinates of all 4 atoms:
Au: 0.9242 0.2500 0.8403
Au: 0.0758 0.7500 0.1597
Cd: 0.6500 0.2500 0.3199
Cd: 0.3500 0.7500 0.6801

=====

(8)
Below is a geometry-optimized Er2TcPd structure, with properties calculated at the PBE level.

Properties
The calculation puts the mass density at 11.027 Mg/m³. The space group is No. 123. The calculation puts the formation energy at -0.47 eV per atom. The calculation puts the density of states at the Fermi level at 4.29 states/eV per cell.

Cell: 3.4621 3.4621 6.7711 Å, 90.00 90.00 90.00°
Fractional coordinates of all 4 atoms:
Tc: 0.5000 0.5000 0.0000
Pd: 0.5000 0.5000 0.5000
Er: 0.0000 0.0000 0.7584
Er: 0.0000 0.0000 0.2416